Record 1
Compound: Mn2TlTe
Source: the Alexandria database
Functional: PBE
Structure: optimized geometry

Energy relative to the elements, uncorrected: 0.3198 eV/atom
Spin magnetization: 2.008 μB per atom
VASP energy: -22.6 eV per formula unit
V: 22.9 A^3/atom
Energy above the most stable polymorph in this dataset: 0.059 eV per atom

a = 3.978 Å, b = 3.978 Å, c = 7.089 Å
α = 74.08°, β = 74.08°, γ = 59.49°
Fractional coordinates of all 4 atoms:
Te (0.750, 0.750, 0.750)
Mn (0.003, 0.003, 0.991)
Mn (0.497, 0.497, 0.509)
Tl (0.250, 0.250, 0.250)

---

Record 2
Compound: Mn4TlTe
Source: the Alexandria database
Functional: PBE
Structure: optimized geometry

Energy relative to the elements, uncorrected: 0.5295 eV/atom
Spin magnetization: 1.792 μB per atom
VASP energy: -39.0 eV per formula unit
V: 16.4 A^3/atom

a = 5.186 Å, b = 5.186 Å, c = 5.186 Å
α = 60.00°, β = 60.00°, γ = 60.00°
Fractional coordinates of all 6 atoms:
Mn (0.625, 0.126, 0.625)
Mn (0.625, 0.625, 0.625)
Mn (0.126, 0.625, 0.625)
Te (0.250, 0.250, 0.250)
Tl (0.000, 0.000, 0.000)
Mn (0.625, 0.625, 0.126)

---

Record 3
Compound: MnTlTe4
Source: the Alexandria database
Functional: PBE
Structure: optimized geometry

Energy relative to the elements, uncorrected: 0.0018 eV/atom
Spin magnetization: 0.000 μB per atom
VASP energy: -24.1 eV per formula unit
V: 30.8 A^3/atom
Energy above the most stable polymorph in this dataset: 0.000 eV per atom

a = 6.837 Å, b = 7.507 Å, c = 8.153 Å
α = 117.41°, β = 95.23°, γ = 90.00°
Fractional coordinates of all 12 atoms:
Te (0.000, 0.285, 0.000)
Te (0.756, 0.302, 0.605)
Tl (0.834, 0.800, 0.600)
Mn (0.696, 0.489, 0.978)
Tl (0.166, 0.200, 0.400)
Te (0.454, 0.172, 0.803)
Te (0.000, 0.715, 0.000)
Te (0.546, 0.369, 0.197)
Te (0.454, 0.631, 0.803)
Te (0.244, 0.698, 0.395)
Mn (0.304, 0.511, 0.022)
Te (0.546, 0.828, 0.197)

---

Record 4
Compound: MnTlTe4
Source: the Alexandria database
Functional: PBE
Structure: optimized geometry

Energy relative to the elements, uncorrected: 0.4550 eV/atom
Spin magnetization: 0.922 μB per atom
VASP energy: -21.4 eV per formula unit
V: 31.8 A^3/atom
Energy above the most stable polymorph in this dataset: 0.453 eV per atom

a = 6.461 Å, b = 6.461 Å, c = 6.461 Å
α = 60.00°, β = 60.00°, γ = 60.00°
Fractional coordinates of all 6 atoms:
Te (0.374, 0.877, 0.374)
Mn (0.000, 0.000, 0.000)
Te (0.877, 0.374, 0.374)
Te (0.374, 0.374, 0.374)
Te (0.374, 0.374, 0.877)
Tl (0.750, 0.750, 0.750)

---

Record 5
Compound: Mn2TlTe
Source: the Alexandria database
Functional: PBE
Structure: optimized geometry

Energy relative to the elements, uncorrected: 0.6967 eV/atom
Spin magnetization: 2.025 μB per atom
VASP energy: -21.1 eV per formula unit
V: 22.8 A^3/atom
Energy above the most stable polymorph in this dataset: 0.436 eV per atom

a = 5.053 Å, b = 5.053 Å, c = 5.053 Å
α = 60.00°, β = 60.00°, γ = 60.00°
Fractional coordinates of all 4 atoms:
Tl (0.250, 0.250, 0.250)
Mn (0.000, 0.000, 0.000)
Mn (0.750, 0.750, 0.750)
Te (0.500, 0.500, 0.500)

---

Record 6
Compound: MnTl8Te6
Source: the Alexandria database
Functional: PBE
Structure: optimized geometry

Energy relative to the elements, uncorrected: -0.2235 eV/atom
Spin magnetization: 0.331 μB per atom
VASP energy: -50.3 eV per formula unit
V: 36.6 A^3/atom

a = 10.000 Å, b = 9.339 Å, c = 11.766 Å
α = 90.00°, β = 90.00°, γ = 90.00°
Fractional coordinates of all 30 atoms:
Tl (0.249, 0.272, 0.383)
Tl (0.058, 0.293, 0.666)
Te (0.750, 0.245, 0.603)
Tl (0.250, 0.000, 0.953)
Te (0.491, 0.000, 0.815)
Tl (0.942, 0.207, 0.166)
Tl (0.751, 0.772, 0.883)
Te (0.509, 0.500, 0.315)
Te (0.009, 0.000, 0.815)
Te (0.004, 0.500, 0.876)
Tl (0.058, 0.707, 0.666)
Te (0.250, 0.745, 0.103)
Tl (0.749, 0.500, 0.088)
Te (0.497, 0.500, 0.877)
Tl (0.558, 0.207, 0.167)
Tl (0.750, 0.500, 0.453)
Te (0.996, 0.000, 0.376)
Mn (0.750, 0.000, 0.473)
Tl (0.751, 0.228, 0.883)
Tl (0.442, 0.293, 0.667)
Te (0.750, 0.755, 0.603)
Te (0.503, 0.000, 0.377)
Tl (0.249, 0.728, 0.383)
Tl (0.251, 0.000, 0.588)
Tl (0.558, 0.793, 0.167)
Mn (0.250, 0.500, 0.973)
Tl (0.442, 0.707, 0.667)
Te (0.250, 0.255, 0.103)
Te (0.991, 0.500, 0.315)
Tl (0.942, 0.793, 0.166)

---

Record 7
Compound: Mn3TlTe
Source: the Alexandria database
Functional: PBE
Structure: optimized geometry

Energy relative to the elements, uncorrected: 0.8476 eV/atom
Spin magnetization: 2.076 μB per atom
VASP energy: -28.8 eV per formula unit
V: 24.5 A^3/atom
Energy above the most stable polymorph in this dataset: 0.000 eV per atom

a = 4.963 Å, b = 4.963 Å, c = 4.963 Å
α = 90.00°, β = 90.00°, γ = 90.00°
Fractional coordinates of all 5 atoms:
Te (0.000, 0.000, 0.000)
Mn (0.000, 0.000, 0.500)
Mn (0.500, 0.000, 0.000)
Mn (0.000, 0.500, 0.000)
Tl (0.500, 0.500, 0.500)

---

Record 8
Compound: TmMnTlTe3
Source: the Alexandria database
Functional: PBE
Structure: optimized geometry

Energy relative to the elements, uncorrected: -0.7072 eV/atom
Spin magnetization: 0.830 μB per atom
VASP energy: -29.7 eV per formula unit
V: 34.2 A^3/atom

a = 4.409 Å, b = 9.525 Å, c = 10.252 Å
α = 107.48°, β = 90.00°, γ = 90.00°
Fractional coordinates of all 12 atoms:
Te (0.750, 0.892, 0.128)
Te (0.250, 0.781, 0.466)
Mn (0.250, 0.083, 0.605)
Te (0.750, 0.219, 0.534)
Te (0.250, 0.108, 0.872)
Tl (0.250, 0.206, 0.227)
Tm (0.750, 0.330, 0.859)
Mn (0.750, 0.917, 0.395)
Te (0.750, 0.458, 0.167)
Tm (0.250, 0.670, 0.141)
Te (0.250, 0.542, 0.833)
Tl (0.750, 0.794, 0.773)

---

Record 9
Compound: Tm2MnTl3Te6
Source: the Alexandria database
Functional: PBE
Structure: optimized geometry

Energy relative to the elements, uncorrected: -0.7242 eV/atom
Spin magnetization: 0.354 μB per atom
VASP energy: -52.8 eV per formula unit
V: 32.7 A^3/atom

a = 7.517 Å, b = 7.517 Å, c = 8.389 Å
α = 98.66°, β = 98.66°, γ = 119.93°
Fractional coordinates of all 12 atoms:
Tm (0.664, 0.336, 0.000)
Te (0.247, 0.247, 0.787)
Tl (0.500, 0.500, 0.500)
Mn (0.000, 0.000, 0.000)
Te (0.383, 0.066, 0.203)
Te (0.934, 0.617, 0.797)
Te (0.617, 0.934, 0.797)
Tl (0.177, 0.823, 0.500)
Te (0.066, 0.383, 0.203)
Tm (0.336, 0.664, 0.000)
Te (0.753, 0.753, 0.213)
Tl (0.823, 0.177, 0.500)

---

Record 10
Compound: TmMn2Tl3Te6
Source: the Alexandria database
Functional: PBE
Structure: optimized geometry

Energy relative to the elements, uncorrected: -0.4605 eV/atom
Spin magnetization: 0.682 μB per atom
VASP energy: -54.3 eV per formula unit
V: 30.8 A^3/atom

a = 7.296 Å, b = 7.296 Å, c = 8.353 Å
α = 98.34°, β = 98.34°, γ = 119.61°
Fractional coordinates of all 12 atoms:
Tl (0.156, 0.844, 0.500)
Tl (0.500, 0.500, 0.500)
Te (0.578, 0.935, 0.799)
Mn (0.669, 0.331, 0.000)
Mn (0.331, 0.669, 0.000)
Te (0.706, 0.706, 0.192)
Te (0.422, 0.065, 0.201)
Te (0.294, 0.294, 0.808)
Te (0.065, 0.422, 0.201)
Tm (0.000, 0.000, 0.000)
Tl (0.844, 0.156, 0.500)
Te (0.935, 0.578, 0.799)

---

Record 11
Compound: U3MnTl3Te8
Source: the Alexandria database
Functional: PBE
Structure: optimized geometry

Energy relative to the elements, uncorrected: -0.4693 eV/atom
Spin magnetization: 0.800 μB per atom
VASP energy: -82.3 eV per formula unit
V: 36.2 A^3/atom

a = 8.646 Å, b = 8.645 Å, c = 9.756 Å
α = 116.30°, β = 90.00°, γ = 120.01°
Fractional coordinates of all 15 atoms:
U (0.500, 0.000, 0.500)
Tl (0.000, 0.000, 0.000)
Te (0.261, 0.521, 0.281)
Mn (0.000, 0.000, 0.500)
Tl (0.500, 0.500, 0.000)
Te (0.772, 0.544, 0.296)
U (0.000, 0.500, 0.500)
Te (0.772, 0.024, 0.296)
Te (0.228, 0.456, 0.704)
Te (0.228, 0.976, 0.704)
Te (0.748, 0.976, 0.704)
U (0.500, 0.500, 0.500)
Te (0.252, 0.024, 0.296)
Tl (0.000, 0.500, 0.000)
Te (0.739, 0.479, 0.719)

---

Record 12
Compound: UMn2Tl3Te6
Source: the Alexandria database
Functional: PBE
Structure: optimized geometry

Energy relative to the elements, uncorrected: -0.3278 eV/atom
Spin magnetization: 0.751 μB per atom
VASP energy: -59.5 eV per formula unit
V: 31.9 A^3/atom

a = 7.335 Å, b = 7.335 Å, c = 8.564 Å
α = 98.24°, β = 98.24°, γ = 119.94°
Fractional coordinates of all 12 atoms:
Te (0.725, 0.725, 0.201)
Tl (0.838, 0.162, 0.500)
Te (0.067, 0.408, 0.202)
Tl (0.162, 0.838, 0.500)
Mn (0.668, 0.332, 0.000)
Te (0.933, 0.592, 0.798)
Te (0.408, 0.067, 0.202)
Tl (0.500, 0.500, 0.500)
Mn (0.332, 0.668, 0.000)
U (0.000, 0.000, 0.000)
Te (0.592, 0.933, 0.798)
Te (0.275, 0.275, 0.799)